[1]
A relaxed structure of PuScCoRh. Source: Alexandria via LeMat-Bulk, functional PBE-GGA.

Structure (extended XYZ):
```
4
Lattice="4.6464 0.0000 0.0000 2.3232 4.0239 0.0000 2.3232 1.3413 3.7937" Properties=species:S:1:pos:R:3 pbc="T T T"
Rh 4.6464 2.6826 1.8969
Pu 6.9695 4.0239 2.8453
Sc 2.3232 1.3413 0.9484
Co 0.0000 0.0000 0.0000
```

Crystal system   cubic


[2]
A relaxed structure of LaHgIr2. Source: Alexandria via LeMat-Bulk, functional PBE-GGA.

Structure (extended XYZ):
```
4
Lattice="3.9996 0.0000 0.0000 0.0000 4.4394 0.0000 0.0000 0.0000 4.4394" Properties=species:S:1:pos:R:3 pbc="T T T"
La 1.9998 2.2197 0.0000
Hg 1.9998 0.0000 2.2197
Ir 0.0000 0.0000 0.0000
Ir 0.0000 2.2197 2.2197
```

Crystal system   tetragonal


[3]
A relaxed structure of Mg2TlPb2. Source: Alexandria via LeMat-Bulk, functional PBE-GGA.

Structure (extended XYZ):
```
5
Lattice="-2.6354 3.7788 1.7277 -3.0454 -3.1485 2.2409 0.8056 0.4840 7.1765" Properties=species:S:1:pos:R:3 pbc="T T T"
Mg -2.3351 2.2890 5.4442
Mg -2.5401 -1.1747 5.7008
Pb -2.8796 0.7601 7.9577
Pb -1.9956 0.3543 3.1874
Tl 0.0000 0.0000 0.0000
```

Excess energy over the best structure of this formula in the dataset   0.064 eV/atom
Crystal system   tetragonal


Number 1: volume 71 Å³ per cell, raw total energy -9.15 eV per atom, formation enthalpy at 0 K -371.2 meV/atom. Number 2: volume 79 Å³ per cell, raw total energy -5.88 eV per atom, formation enthalpy at 0 K -144.5 meV/atom. Number 3: volume 154 Å³ per cell, raw total energy -2.55 eV per atom, formation enthalpy at 0 K 48.8 meV/atom.